i | Computed, not measured: an optimized crystal structure of GaCo2H2 at the PBE level of DFT.

Geometry as CIF:
```
data_GaCo2H2
_chemical_formula_sum 'Ga2 Co4 H4'
_cell_length_a 5.311
_cell_length_b 5.311
_cell_length_c 3.010
_cell_angle_alpha 90.00
_cell_angle_beta 90.00
_cell_angle_gamma 90.00
_space_group_name_H-M_alt 'P 1'
_space_group_IT_number 1
loop_
_space_group_symop_operation_xyz
'x,y,z'
loop_
_atom_site_label
_atom_site_fract_x
_atom_site_fract_y
_atom_site_fract_z
Co1 0.174 0.326 0.500
Co2 0.674 0.174 0.500
Co3 0.826 0.674 0.500
Co4 0.326 0.826 0.500
H1 0.103 0.397 0.000
H2 0.897 0.603 0.000
H3 0.397 0.897 0.000
H4 0.603 0.103 0.000
Ga1 0.500 0.500 0.000
Ga2 0.000 0.000 0.000
```

## Properties
Its volume is 42.4 Å³/f.u. Its calculated density is 7.42 Mg/m³. The density of states at the Fermi level is 0.333 states/eV per atom.


ii | Computed, not measured: an optimized crystal structure of GaCo2H2 at the PBE level of DFT.

Geometry as CIF:
```
data_GaCo2H2
_chemical_formula_sum 'Ga2 Co4 H4'
_cell_length_a 4.596
_cell_length_b 4.596
_cell_length_c 5.062
_cell_angle_alpha 107.00
_cell_angle_beta 107.00
_cell_angle_gamma 115.60
_space_group_name_H-M_alt 'P 1'
_space_group_IT_number 1
loop_
_space_group_symop_operation_xyz
'x,y,z'
loop_
_atom_site_label
_atom_site_fract_x
_atom_site_fract_y
_atom_site_fract_z
Ga1 0.136 0.364 0.250
Ga2 0.864 0.636 0.750
Co1 0.531 0.969 0.750
Co2 0.179 0.321 0.750
Co3 0.821 0.679 0.250
Co4 0.469 0.031 0.250
H1 0.538 0.765 0.994
H2 0.462 0.235 0.006
H3 0.735 0.962 0.506
H4 0.265 0.038 0.494
```

## Properties
Its volume is 40.3 Å³/f.u. Its calculated density is 7.81 Mg/m³. The density of states at the Fermi level is 0.800 states/eV per atom.


iii | Computed, not measured: an optimized crystal structure of GaCo2H2 at the PBE level of DFT.

Geometry as CIF:
```
data_GaCo2H2
_chemical_formula_sum 'Ga1 Co2 H2'
_cell_length_a 2.769
_cell_length_b 2.769
_cell_length_c 5.344
_cell_angle_alpha 90.00
_cell_angle_beta 90.00
_cell_angle_gamma 90.00
_space_group_name_H-M_alt 'P 1'
_space_group_IT_number 1
loop_
_space_group_symop_operation_xyz
'x,y,z'
loop_
_atom_site_label
_atom_site_fract_x
_atom_site_fract_y
_atom_site_fract_z
Co1 0.500 0.500 0.278
Co2 0.500 0.500 0.722
H1 0.000 0.500 0.500
H2 0.500 0.000 0.500
Ga1 0.000 0.000 0.000
```

## Properties
Its volume is 41.0 Å³/f.u. Its calculated density is 7.69 Mg/m³. The density of states at the Fermi level is 0.449 states/eV per atom.


ii comes first in stability; the runner-up is 15 meV/atom higher.


i | Computed, not measured: an optimized crystal structure of GaCoH2 at the PBE level of DFT.

Geometry as CIF:
```
data_GaCoH2
_chemical_formula_sum 'Ga1 Co1 H2'
_cell_length_a 2.834
_cell_length_b 2.834
_cell_length_c 4.572
_cell_angle_alpha 108.25
_cell_angle_beta 108.25
_cell_angle_gamma 89.91
_space_group_name_H-M_alt 'P 1'
_space_group_IT_number 1
loop_
_space_group_symop_operation_xyz
'x,y,z'
loop_
_atom_site_label
_atom_site_fract_x
_atom_site_fract_y
_atom_site_fract_z
Co1 0.627 0.127 0.254
H1 0.529 0.530 0.061
H2 0.030 0.029 0.061
Ga1 0.314 0.814 0.625
```

## Properties
Its volume is 32.9 Å³/f.u. Its calculated density is 6.59 Mg/m³. The density of states at the Fermi level is 0.266 states/eV per atom.


ii | Computed, not measured: an optimized crystal structure of GaCoH2 at the PBE level of DFT.

Geometry as CIF:
```
data_GaCoH2
_chemical_formula_sum 'Ga2 Co2 H4'
_cell_length_a 4.044
_cell_length_b 4.044
_cell_length_c 5.071
_cell_angle_alpha 66.50
_cell_angle_beta 66.50
_cell_angle_gamma 90.00
_space_group_name_H-M_alt 'P 1'
_space_group_IT_number 1
loop_
_space_group_symop_operation_xyz
'x,y,z'
loop_
_atom_site_label
_atom_site_fract_x
_atom_site_fract_y
_atom_site_fract_z
H1 0.375 0.471 0.750
H2 0.875 0.779 0.750
H3 0.221 0.625 0.250
H4 0.529 0.125 0.250
Ga1 0.750 0.250 0.500
Ga2 0.000 0.000 0.000
Co1 0.250 0.750 0.500
Co2 0.500 0.500 0.000
```

## Properties
Its volume is 34.2 Å³/f.u. Its calculated density is 6.34 Mg/m³. The density of states at the Fermi level is 0.435 states/eV per atom.


i comes first in stability; the runner-up is 286 meV/atom higher.


i | Computed, not measured: an optimized crystal structure of La2GaCoH at the PBE level of DFT.

Geometry as CIF:
```
data_La2GaCoH
_chemical_formula_sum 'La2 Ga1 Co1 H1'
_cell_length_a 5.201
_cell_length_b 5.201
_cell_length_c 3.665
_cell_angle_alpha 90.00
_cell_angle_beta 90.00
_cell_angle_gamma 90.00
_space_group_name_H-M_alt 'P 1'
_space_group_IT_number 1
loop_
_space_group_symop_operation_xyz
'x,y,z'
loop_
_atom_site_label
_atom_site_fract_x
_atom_site_fract_y
_atom_site_fract_z
Co1 0.000 0.000 0.500
La1 0.500 0.000 0.000
La2 0.000 0.500 0.000
H1 0.000 0.000 0.000
Ga1 0.500 0.500 0.500
```

## Properties
Its volume is 99.1 Å³/f.u. Its calculated density is 6.83 Mg/m³. The density of states at the Fermi level is 0.534 states/eV per atom.


ii | Computed, not measured: an optimized crystal structure of La2GaCoH at the PBE level of DFT.

Geometry as CIF:
```
data_La2GaCoH
_chemical_formula_sum 'La4 Ga2 Co2 H2'
_cell_length_a 4.345
_cell_length_b 6.159
_cell_length_c 7.939
_cell_angle_alpha 103.79
_cell_angle_beta 90.00
_cell_angle_gamma 90.00
_space_group_name_H-M_alt 'P 1'
_space_group_IT_number 1
loop_
_space_group_symop_operation_xyz
'x,y,z'
loop_
_atom_site_label
_atom_site_fract_x
_atom_site_fract_y
_atom_site_fract_z
La1 0.750 0.766 0.584
La2 0.250 0.239 0.973
La3 0.250 0.234 0.416
La4 0.750 0.761 0.027
H1 0.750 0.190 0.179
H2 0.250 0.810 0.821
Co1 0.250 0.533 0.762
Co2 0.750 0.467 0.238
Ga1 0.250 0.675 0.288
Ga2 0.750 0.325 0.712
```

## Properties
Its volume is 103.2 Å³/f.u. Its calculated density is 6.56 Mg/m³. The density of states at the Fermi level is 0.880 states/eV per atom.


ii comes first in stability; the runner-up is 116 meV/atom higher.


i | Computed, not measured: an optimized crystal structure of GaCo2HPt at the PBE level of DFT.

Geometry as CIF:
```
data_GaCo2HPt
_chemical_formula_sum 'Ga1 Co2 H1 Pt1'
_cell_length_a 3.714
_cell_length_b 3.896
_cell_length_c 3.714
_cell_angle_alpha 90.00
_cell_angle_beta 90.00
_cell_angle_gamma 90.00
_space_group_name_H-M_alt 'P 1'
_space_group_IT_number 1
loop_
_space_group_symop_operation_xyz
'x,y,z'
loop_
_atom_site_label
_atom_site_fract_x
_atom_site_fract_y
_atom_site_fract_z
H1 0.000 0.000 0.000
Pt1 0.000 0.500 0.000
Ga1 0.500 0.500 0.500
Co1 0.500 0.000 0.000
Co2 0.000 0.000 0.500
```

## Properties
Its volume is 53.7 Å³/f.u. Its calculated density is 11.85 Mg/m³. The density of states at the Fermi level is 1.005 states/eV per atom.


ii | Computed, not measured: an optimized crystal structure of GaCo2HPt at the PBE level of DFT.

Geometry as CIF:
```
data_GaCo2HPt
_chemical_formula_sum 'Ga1 Co2 H1 Pt1'
_cell_length_a 4.760
_cell_length_b 3.222
_cell_length_c 4.760
_cell_angle_alpha 90.00
_cell_angle_beta 90.00
_cell_angle_gamma 90.00
_space_group_name_H-M_alt 'P 1'
_space_group_IT_number 1
loop_
_space_group_symop_operation_xyz
'x,y,z'
loop_
_atom_site_label
_atom_site_fract_x
_atom_site_fract_y
_atom_site_fract_z
Ga1 0.500 0.500 0.500
Co1 0.500 0.000 0.000
Co2 0.000 0.000 0.500
Pt1 0.000 0.000 0.000
H1 0.000 0.500 0.000
```

## Properties
Its volume is 73.0 Å³/f.u. Its calculated density is 8.73 Mg/m³. The density of states at the Fermi level is 1.365 states/eV per atom.


iii | Computed, not measured: an optimized crystal structure of GaCo2HPt at the PBE level of DFT.

Geometry as CIF:
```
data_GaCo2HPt
_chemical_formula_sum 'Ga1 Co2 H1 Pt1'
_cell_length_a 3.629
_cell_length_b 3.629
_cell_length_c 4.068
_cell_angle_alpha 90.00
_cell_angle_beta 90.00
_cell_angle_gamma 90.00
_space_group_name_H-M_alt 'P 1'
_space_group_IT_number 1
loop_
_space_group_symop_operation_xyz
'x,y,z'
loop_
_atom_site_label
_atom_site_fract_x
_atom_site_fract_y
_atom_site_fract_z
Ga1 0.000 0.000 0.500
Pt1 0.500 0.500 0.500
Co1 0.000 0.500 0.000
Co2 0.500 0.000 0.000
H1 0.000 0.000 0.000
```

## Properties
Its volume is 53.6 Å³/f.u. Its calculated density is 11.89 Mg/m³. The density of states at the Fermi level is 1.010 states/eV per atom.


i comes first in stability; the runner-up is 65 meV/atom higher.